# 1
Below is an optimized crystal structure of KTa2InMo, with properties calculated at the GGA-PBE level.

POSCAR file:
```
KTa2InMo
1.0
-0.049 3.748 2.589
2.423 -2.594 3.800
4.031 1.242 -1.722
Mo In K Ta
1 1 1 2
Cartesian
3.202 1.198 2.334 Mo
1.211 -1.297 1.900 In
0.000 0.000 0.000 K
2.015 0.621 -0.861 Ta
-0.025 1.874 1.295 Ta
```

Computed properties:
energy relative to the elements: 2965 meV per atom
D(E_F): 4.63 states/eV/cell

# 2
Below is an optimized crystal structure of KIn2TeMo, with properties calculated at the GGA-PBE level.

POSCAR file:
```
KIn2TeMo
1.0
5.436 0.000 0.000
0.000 6.264 0.000
0.000 0.000 5.436
Mo Te K In
1 1 1 2
Cartesian
0.000 0.000 0.000 Mo
2.718 3.132 2.718 Te
0.000 3.132 0.000 K
0.000 0.000 2.718 In
2.718 0.000 0.000 In
```

Computed properties:
D(E_F): 2.89 states/eV/cell
formation energy without anion corrections: 649 meV/atom

# 3
Below is an optimized crystal structure of KInTe6Mo6, with properties calculated at the GGA-PBE level.

POSCAR file:
```
KInTe6Mo6
1.0
4.619 0.000 0.000
0.000 9.712 0.039
0.000 4.820 8.431
K In Te Mo
1 1 6 6
Cartesian
0.000 4.844 2.823 K
2.309 9.686 5.650 In
0.000 6.901 5.896 Te
0.000 11.297 7.936 Te
0.000 10.867 3.108 Te
2.309 7.688 2.615 Te
2.309 3.243 0.464 Te
2.309 3.602 5.391 Te
0.000 4.264 6.996 Mo
0.000 8.747 1.238 Mo
0.000 1.521 0.236 Mo
2.309 10.270 1.471 Mo
2.309 5.782 7.232 Mo
2.309 13.014 8.237 Mo
```

Computed properties:
D(E_F): 3.13 states/eV/cell
formation energy without anion corrections: -366 meV/atom

# 4
Below is an optimized crystal structure of K3InN, with properties calculated at the GGA-PBE level.

POSCAR file:
```
K3InN
1.0
-0.193 -5.540 1.119
5.652 -0.192 0.022
0.017 1.119 5.543
K N In
3 1 1
Cartesian
2.826 -0.096 0.011 K
0.008 0.560 2.772 K
-0.096 -2.770 0.560 K
0.000 0.000 0.000 N
2.738 -2.306 3.342 In
```

Computed properties:
D(E_F): 5.75 states/eV/cell
formation energy without anion corrections: 547 meV/atom

# 5
Below is an optimized crystal structure of KInN, with properties calculated at the GGA-PBE level.

POSCAR file:
```
KInN
1.0
6.335 0.000 0.000
0.000 3.609 0.000
-2.227 0.000 5.959
K N In
2 2 2
Cartesian
0.958 0.000 0.503 K
2.039 1.805 5.924 K
4.191 1.805 4.430 N
1.035 0.000 3.715 N
3.376 0.000 3.139 In
-0.163 1.805 3.620 In
```

Computed properties:
D(E_F): 0.82 states/eV/cell
formation energy without anion corrections: 208 meV/atom

# 6
Below is an optimized crystal structure of K2InN, with properties calculated at the GGA-PBE level.

POSCAR file:
```
K2InN
1.0
11.841 0.000 0.000
0.000 11.841 0.000
5.920 5.920 2.162
K N In
4 2 2
Cartesian
6.582 2.960 0.540 K
5.259 8.880 0.540 K
8.880 11.179 1.621 K
14.801 12.502 1.621 K
5.920 5.920 0.000 N
5.920 11.841 1.081 N
0.000 0.000 0.000 In
11.841 5.920 1.081 In
```

Computed properties:
D(E_F): 5.45 states/eV/cell
formation energy without anion corrections: 329 meV/atom

# 7
Below is an optimized crystal structure of KInN, with properties calculated at the GGA-PBE level.

POSCAR file:
```
KInN
1.0
3.954 -0.110 -1.355
-0.148 3.450 -0.671
-2.004 0.442 11.912
K In N
2 2 2
Cartesian
2.025 2.090 5.671 K
-0.202 2.902 10.362 K
-0.837 3.374 3.645 In
0.708 1.286 1.831 In
0.431 0.706 8.162 N
1.543 0.834 8.543 N
```

Computed properties:
D(E_F): 3.91 states/eV/cell
formation energy without anion corrections: -70 meV/atom

# 8
Below is an optimized crystal structure of KInN, with properties calculated at the GGA-PBE level.

POSCAR file:
```
KInN
1.0
-3.460 -5.988 -3.042
1.716 -2.174 2.329
-2.468 8.361 9.625
K N In
4 4 4
Cartesian
-1.102 -0.971 -0.095 K
-4.826 3.344 6.678 K
-1.478 2.122 5.882 K
-2.734 -1.923 3.030 K
-2.112 5.152 6.366 N
-3.816 -2.779 0.217 N
-0.020 -0.116 2.718 N
-4.192 0.315 6.194 N
-1.655 1.402 2.528 In
-4.272 0.972 4.055 In
-2.032 4.495 8.505 In
-2.180 -4.296 0.407 In
```

Computed properties:
formation energy without anion corrections: 109 meV/atom

# 9
Below is an optimized crystal structure of K2InN, with properties calculated at the GGA-PBE level.

POSCAR file:
```
K2InN
1.0
0.000 3.773 3.773
3.773 0.000 3.773
3.773 3.773 0.000
K N In
2 1 1
Cartesian
1.887 1.887 1.887 K
5.660 5.660 5.660 K
0.000 0.000 0.000 N
3.773 3.773 3.773 In
```

Computed properties:
D(E_F): 0.00 states/eV/cell
formation energy without anion corrections: 909 meV/atom

# 10
Below is an optimized crystal structure of KInN, with properties calculated at the GGA-PBE level.

POSCAR file:
```
KInN
1.0
3.618 0.000 0.000
-1.809 3.133 0.000
0.000 0.000 18.033
K N In
3 3 3
Cartesian
0.000 0.000 14.525 K
0.000 2.089 8.514 K
1.809 1.044 2.503 K
0.000 0.000 10.463 N
0.000 2.089 4.452 N
1.809 1.044 16.474 N
0.000 0.000 5.285 In
0.000 2.089 17.307 In
1.809 1.044 11.296 In
```

Computed properties:
D(E_F): 3.80 states/eV/cell
formation energy without anion corrections: 223 meV/atom

# 11
Below is an optimized crystal structure of KIn2N, with properties calculated at the GGA-PBE level.

POSCAR file:
```
KIn2N
1.0
7.880 0.000 0.000
0.000 7.880 0.000
3.940 3.940 3.023
K N In
2 2 4
Cartesian
0.000 0.000 0.000 K
7.880 3.940 1.512 K
3.940 3.940 0.000 N
3.940 7.880 1.512 N
5.080 1.970 0.756 In
2.800 5.910 0.756 In
5.910 6.739 2.268 In
9.850 9.020 2.268 In
```

Computed properties:
D(E_F): 0.23 states/eV/cell
formation energy without anion corrections: 324 meV/atom

# 12
Below is an optimized crystal structure of KInN, with properties calculated at the GGA-PBE level.

POSCAR file:
```
KInN
1.0
-2.881 -1.094 2.852
-0.701 -3.745 -2.157
3.100 -1.958 2.393
K N In
1 1 1
Cartesian
-0.370 -5.098 2.399 K
-1.570 -2.246 2.281 N
-0.129 -1.699 0.855 In
```

Computed properties:
D(E_F): 1.24 states/eV/cell
formation energy without anion corrections: 392 meV/atom

Repeat the third record exactly.
Below is an optimized crystal structure of KInTe6Mo6, with properties calculated at the GGA-PBE level.

POSCAR file:
```
KInTe6Mo6
1.0
4.619 0.000 0.000
0.000 9.712 0.039
0.000 4.820 8.431
K In Te Mo
1 1 6 6
Cartesian
0.000 4.844 2.823 K
2.309 9.686 5.650 In
0.000 6.901 5.896 Te
0.000 11.297 7.936 Te
0.000 10.867 3.108 Te
2.309 7.688 2.615 Te
2.309 3.243 0.464 Te
2.309 3.602 5.391 Te
0.000 4.264 6.996 Mo
0.000 8.747 1.238 Mo
0.000 1.521 0.236 Mo
2.309 10.270 1.471 Mo
2.309 5.782 7.232 Mo
2.309 13.014 8.237 Mo
```

Computed properties:
D(E_F): 3.13 states/eV/cell
formation energy without anion corrections: -366 meV/atom